[1]
First-principles (GGA-PBE) data for PuGaRe after structural relaxation, as listed in the Open Quantum Materials Database.

The structure belongs to space group F-43m (No. 216); the cell edges are 6.3026, 6.3026 and 6.3026 Å and the angles 90.00°, 90.00° and 90.00°. The inequivalent atoms are Pu at (0.0000, 0.0000, 0.0000), Ga at (0.2500, 0.2500, 0.2500) and Re at (0.2500, 0.2500, 0.7500).

The calculation puts the total energy at -107.1 eV/cell. The calculation puts the calculated volume at 63 Å³/f.u.

---

[2]
First-principles (GGA-PBE) data for YInAu2 after structural relaxation, as listed in the Open Quantum Materials Database.

The structure belongs to space group P4/mmm (No. 123); the cell edges are 4.7383, 4.7383 and 3.9062 Å and the angles 90.00°, 90.00° and 90.00°. The inequivalent atoms are Y at (0.0000, 0.0000, 0.0000), In at (0.5000, 0.5000, 0.0000) and Au at (0.0000, 0.5000, 0.5000).

The calculation puts the total energy at -18.1 eV/cell. The calculation puts the calculated volume at 88 Å³/f.u.

---

[3]
First-principles (GGA-PBE) data for GdYCd2 after structural relaxation, as listed in the Open Quantum Materials Database.

The structure belongs to space group Fm-3m (No. 225); the cell edges are 7.4993, 7.4993 and 7.4993 Å and the angles 90.00°, 90.00° and 90.00°. The inequivalent atoms are Gd at (0.0000, 0.0000, 0.0000), Y at (0.0000, 0.0000, 0.5000) and Cd at (0.2500, 0.2500, 0.2500).

The formation enthalpy at 0 K comes out at -1.38 eV/f.u. The calculation puts the calculated volume at 105 Å³/f.u. For the energy above the most stable polymorph in this dataset, the calculation gives 0.00 kcal/mol of atoms.

---

[4]
First-principles (GGA-PBE) data for Hf2Al2Co3Cu after structural relaxation, as listed in the Open Quantum Materials Database.

The structure belongs to space group P3m1 (No. 156); the cell edges are 4.0836, 4.0836 and 8.0316 Å and the angles 90.00°, 90.00° and 120.00°. The inequivalent atoms are Hf at (0.0000, 0.0000, 0.0000), Hf at (0.3333, 0.6667, 0.4806), Al at (0.6667, 0.3333, 0.2359), Al at (0.6667, 0.3333, 0.7237), Co at (0.0000, 0.0000, 0.3325), Co at (0.0000, 0.0000, 0.6524), Co at (0.3333, 0.6667, 0.1461) and Cu at (0.3333, 0.6667, 0.8255).

The calculation puts the total energy at -55.9 eV/cell. The calculation puts the calculated volume at 116 Å³/f.u.

---

[5]
First-principles (GGA-PBE) data for ZnAgSeO after structural relaxation, as listed in the Open Quantum Materials Database.

The structure belongs to space group Pnma (No. 62); the cell edges are 6.3930, 3.2095 and 13.0728 Å and the angles 90.00°, 90.00° and 90.00°. The inequivalent atoms are Zn at (0.2219, 0.2500, 0.0566), Ag at (0.0553, 0.7500, 0.2577), Se at (0.1895, 0.7500, 0.8963) and O at (0.2041, 0.2500, 0.6337).

The calculation puts the calculated volume at 67 Å³/f.u. For the energy above the most stable polymorph in this dataset, the calculation gives 3.16 kcal/mol of atoms.

---

[6]
First-principles (GGA-PBE) data for Li8Zn2In after structural relaxation, as listed in the Open Quantum Materials Database.

The structure belongs to space group C2/m (No. 12); the cell edges are 7.8101, 4.5039 and 10.3620 Å and the angles 90.00°, 104.44° and 90.00°. The inequivalent atoms are Li at (0.0933, 0.0000, 0.2808), Li at (0.1314, 0.5000, 0.8939), Li at (0.1835, 0.0000, 0.5497), Li at (0.2237, 0.5000, 0.1722), Zn at (0.0427, 0.5000, 0.6270) and In at (0.0000, 0.0000, 0.0000).

The calculation puts the total energy at -44.6 eV/cell. The calculation puts the calculated volume at 176 Å³/f.u.

---

[7]
First-principles (GGA-PBE) data for Y2TmAl3NiAu2 after structural relaxation, as listed in the Open Quantum Materials Database.

The structure belongs to space group Amm2 (No. 38); the cell edges are 4.0882, 12.3497 and 7.1687 Å and the angles 90.00°, 90.00° and 90.00°. The inequivalent atoms are Y at (0.0000, 0.2004, 0.0000), Tm at (0.0000, 0.0000, 0.4014), Al at (0.5000, 0.0000, 0.0236), Al at (0.5000, 0.1129, 0.6862), Ni at (0.0000, 0.0000, 0.7946) and Au at (0.5000, 0.1633, 0.3007).

The calculation puts the total energy at -95.2 eV/cell. The calculation puts the calculated volume at 181 Å³/f.u.

---

[8]
First-principles (GGA-PBE) data for InTe3W after structural relaxation, as listed in the Open Quantum Materials Database.

The structure belongs to space group P-31m (No. 162); the cell edges are 7.3558, 7.3558 and 7.3560 Å and the angles 90.00°, 90.00° and 120.00°. The inequivalent atoms are In at (0.3333, 0.6667, 0.0000), Te at (0.0000, 0.3422, 0.2545) and W at (0.0000, 0.0000, 0.1614).

The calculation puts the total energy at -49.2 eV/cell. The calculation puts the calculated volume at 172 Å³/f.u.

---

[9]
First-principles (GGA-PBE) data for NbInTeAuS2 after structural relaxation, as listed in the Open Quantum Materials Database.

The structure belongs to space group Cmcm (No. 63); the cell edges are 3.4670, 16.4079 and 10.3916 Å and the angles 90.00°, 90.00° and 90.00°. The inequivalent atoms are Nb at (0.0000, 0.0000, 0.0000), In at (0.0000, 0.2258, 0.2500), Te at (0.0000, 0.0876, 0.7500), Au at (0.0000, 0.4426, 0.7500) and S at (0.0000, 0.3905, 0.5339).

The calculation puts the total energy at -117.8 eV/cell. The calculation puts the calculated volume at 148 Å³/f.u.

---

[10]
First-principles (GGA-PBE) data for PrCuSn2Pt after structural relaxation, as listed in the Open Quantum Materials Database.

The structure belongs to space group P2_1/m (No. 11); the cell edges are 4.5311, 4.4820 and 10.9173 Å and the angles 90.00°, 91.22° and 90.00°. The inequivalent atoms are Pr at (0.2336, 0.2500, 0.2403), Cu at (0.1961, 0.7500, 0.0002), Sn at (0.2516, 0.7500, 0.4987), Sn at (0.2931, 0.2500, 0.8779) and Pt at (0.2540, 0.2500, 0.6358).

The calculation puts the total energy at -51.7 eV/cell. The calculation puts the calculated volume at 111 Å³/f.u.

---

[11]
First-principles (GGA-PBE) data for AcTmCu after structural relaxation, as listed in the Open Quantum Materials Database.

The structure belongs to space group F-43m (No. 216); the cell edges are 7.2301, 7.2301 and 7.2301 Å and the angles 90.00°, 90.00° and 90.00°. The inequivalent atoms are Ac at (0.0000, 0.0000, 0.0000), Tm at (0.2500, 0.2500, 0.2500) and Cu at (0.2500, 0.2500, 0.7500).

The formation enthalpy at 0 K comes out at 2.52 eV/f.u. The calculation puts the calculated volume at 94 Å³/f.u. For the energy above the most stable polymorph in this dataset, the calculation gives 4.10 kcal/mol of atoms.

---

[12]
First-principles (GGA-PBE) data for GdTcSb after structural relaxation, as listed in the Open Quantum Materials Database.

The structure belongs to space group F-43m (No. 216); the cell edges are 6.7082, 6.7082 and 6.7082 Å and the angles 90.00°, 90.00° and 90.00°. The inequivalent atoms are Gd at (0.0000, 0.0000, 0.0000), Tc at (0.0000, 0.0000, 0.5000) and Sb at (0.2500, 0.2500, 0.2500).

The calculation puts the calculated volume at 75 Å³/f.u. For the energy above the most stable polymorph in this dataset, the calculation gives 0.00 kcal/mol of atoms.

---

[13]
First-principles (GGA-PBE) data for PmTcAsO after structural relaxation, as listed in the Open Quantum Materials Database.

The structure belongs to space group P4/nmm (No. 129, origin choice 2); the cell edges are 4.0082, 4.0082 and 8.7555 Å and the angles 90.00°, 90.00° and 90.00°. The inequivalent atoms are Pm at (0.2500, 0.2500, 0.1338), Tc at (0.2500, 0.7500, 0.5000), As at (0.2500, 0.2500, 0.6722) and O at (0.2500, 0.7500, 0.0000).

The calculation puts the calculated volume at 70 Å³/f.u. For the energy above the most stable polymorph in this dataset, the calculation gives 0.00 kcal/mol of atoms.

---

[14]
First-principles (GGA-PBE) data for ErLu6Fe2Te2 after structural relaxation, as listed in the Open Quantum Materials Database.

The structure belongs to space group Imm2 (No. 44); the cell edges are 3.7999, 15.3958 and 9.1825 Å and the angles 90.00°, 90.00° and 90.00°. The inequivalent atoms are Er at (0.0000, 0.0000, 0.0000), Lu at (0.0000, 0.1374, 0.5807), Lu at (0.0000, 0.3121, 0.3722), Lu at (0.0000, 0.3501, 0.7301), Fe at (0.0000, 0.2353, 0.0676), Te at (0.0000, 0.0000, 0.3373) and Te at (0.0000, 0.5000, 0.2315).

The calculation puts the total energy at -120.2 eV/cell. The calculation puts the calculated volume at 269 Å³/f.u.

---

[15]
First-principles (GGA-PBE) data for BaScTc2 after structural relaxation, as listed in the Open Quantum Materials Database.

The structure belongs to space group F-43m (No. 216); the cell edges are 6.8519, 6.8519 and 6.8519 Å and the angles 90.00°, 90.00° and 90.00°. The inequivalent atoms are Ba at (0.0000, 0.0000, 0.0000), Sc at (0.2500, 0.2500, 0.7500), Tc at (0.0000, 0.0000, 0.5000) and Tc at (0.2500, 0.2500, 0.2500).

The calculation puts the total energy at -101.9 eV/cell. The calculation puts the calculated volume at 80 Å³/f.u.

---

[16]
First-principles (GGA-PBE) data for SrTl2Ir after structural relaxation, as listed in the Open Quantum Materials Database.

The structure belongs to space group F-43m (No. 216); the cell edges are 7.3591, 7.3591 and 7.3591 Å and the angles 90.00°, 90.00° and 90.00°. The inequivalent atoms are Sr at (0.0000, 0.0000, 0.0000), Tl at (0.0000, 0.0000, 0.5000), Tl at (0.2500, 0.2500, 0.7500) and Ir at (0.2500, 0.2500, 0.2500).

The calculation puts the total energy at -58.2 eV/cell. The calculation puts the calculated volume at 100 Å³/f.u.

---

[17]
First-principles (GGA-PBE) data for CuSbSeS after structural relaxation, as listed in the Open Quantum Materials Database.

The structure belongs to space group P4/nmm (No. 129, origin choice 2); the cell edges are 4.4934, 4.4934 and 9.6666 Å and the angles 90.00°, 90.00° and 90.00°. The inequivalent atoms are Cu at (0.2500, 0.2500, 0.0562), Sb at (0.2500, 0.7500, 0.5000), Se at (0.2500, 0.2500, 0.7175) and S at (0.2500, 0.7500, 0.0000).

The calculation puts the calculated volume at 98 Å³/f.u. For the energy above the most stable polymorph in this dataset, the calculation gives 7.04 kcal/mol of atoms.

---

[18]
First-principles (GGA-PBE) data for CsAgSnS3 after structural relaxation, as listed in the Open Quantum Materials Database.

The structure belongs to space group Cmcm (No. 63); the cell edges are 3.9224, 15.6708 and 10.6436 Å and the angles 90.00°, 90.00° and 90.00°. The inequivalent atoms are Cs at (0.0000, 0.2335, 0.2500), Ag at (0.0000, 0.0634, 0.7500), Sn at (0.0000, 0.5000, 0.0000), S at (0.0000, 0.1119, 0.5279) and S at (0.0000, 0.4528, 0.7500).

The calculation puts the calculated volume at 164 Å³/f.u. For the energy above the most stable polymorph in this dataset, the calculation gives 1.66 kcal/mol of atoms.

---

[19]
First-principles (GGA-PBE) data for RbNd2CuSe3S after structural relaxation, as listed in the Open Quantum Materials Database.

The structure belongs to space group Cmcm (No. 63); the cell edges are 4.2032, 14.5620 and 14.5160 Å and the angles 90.00°, 90.00° and 90.00°. The inequivalent atoms are Rb at (0.0000, 0.1005, 0.2500), Nd at (0.0000, 0.3653, 0.0666), Cu at (0.0000, 0.1595, 0.7500), Se at (0.0000, 0.0000, 0.0000), Se at (0.0000, 0.2654, 0.6149) and S at (0.0000, 0.4231, 0.2500).

The calculation puts the total energy at -164.4 eV/cell. The calculation puts the calculated volume at 222 Å³/f.u.

---

[20]
First-principles (GGA-PBE) data for TaCdNiGe after structural relaxation, as listed in the Open Quantum Materials Database.

The structure belongs to space group F-43m (No. 216); the cell edges are 6.3820, 6.3820 and 6.3820 Å and the angles 90.00°, 90.00° and 90.00°. The inequivalent atoms are Ta at (0.0000, 0.0000, 0.0000), Cd at (0.2500, 0.2500, 0.7500), Ni at (0.0000, 0.0000, 0.5000) and Ge at (0.2500, 0.2500, 0.2500).

The calculation puts the total energy at -86.4 eV/cell. The calculation puts the calculated volume at 65 Å³/f.u.

---

[21]
First-principles (GGA-PBE) data for Zn2CuAu after structural relaxation, as listed in the Open Quantum Materials Database.

The structure belongs to space group Fm-3m (No. 225); the cell edges are 6.1651, 6.1651 and 6.1651 Å and the angles 90.00°, 90.00° and 90.00°. The inequivalent atoms are Zn at (0.2500, 0.2500, 0.2500), Cu at (0.0000, 0.0000, 0.0000) and Au at (0.0000, 0.0000, 0.5000).

The formation enthalpy at 0 K comes out at -0.60 eV/f.u. The calculation puts the calculated volume at 59 Å³/f.u.

---

[22]
First-principles (GGA-PBE) data for Pu2Sn2Se5 after structural relaxation, as listed in the Open Quantum Materials Database.

The structure belongs to space group P-3m1 (No. 164); the cell edges are 4.2254, 4.2254 and 16.9222 Å and the angles 90.00°, 90.00° and 120.00°. The inequivalent atoms are Pu at (0.0000, 0.0000, 0.1794), Sn at (0.3333, 0.6667, 0.6063), Se at (0.0000, 0.0000, 0.5000), Se at (0.3333, 0.6667, 0.2846) and Se at (0.3333, 0.6667, 0.9025).

The calculation puts the total energy at -62.5 eV/cell. The calculation puts the calculated volume at 262 Å³/f.u.

---

[23]
First-principles (GGA-PBE) data for PrSiO3 after structural relaxation, as listed in the Open Quantum Materials Database.

The structure belongs to space group Pm-3m (No. 221); the cell edges are 3.7815, 3.7815 and 3.7815 Å and the angles 90.00°, 90.00° and 90.00°. The inequivalent atoms are Pr at (0.0000, 0.0000, 0.0000), Si at (0.5000, 0.5000, 0.5000) and O at (0.0000, 0.5000, 0.5000).

The calculation puts the total energy at -37.1 eV/cell. The calculation puts the calculated volume at 54 Å³/f.u.

---

[24]
First-principles (GGA-PBE) data for LiGa2FeCu4 after structural relaxation, as listed in the Open Quantum Materials Database.

The structure belongs to space group P4/mmm (No. 123); the cell edges are 4.0391, 4.0391 and 6.0030 Å and the angles 90.00°, 90.00° and 90.00°. The inequivalent atoms are Li at (0.0000, 0.0000, 0.0000), Ga at (0.0000, 0.0000, 0.5000), Ga at (0.5000, 0.5000, 0.0000), Fe at (0.5000, 0.5000, 0.5000) and Cu at (0.0000, 0.5000, 0.2479).

The calculation puts the total energy at -31.9 eV/cell. The calculation puts the calculated volume at 98 Å³/f.u.

---

[25]
First-principles (GGA-PBE) data for DyHo2Mg3Hg2Au after structural relaxation, as listed in the Open Quantum Materials Database.

The structure belongs to space group Amm2 (No. 38); the cell edges are 4.1752, 13.3234 and 7.6831 Å and the angles 90.00°, 90.00° and 90.00°. The inequivalent atoms are Dy at (0.0000, 0.0000, 0.0000), Ho at (0.0000, 0.2021, 0.6068), Mg at (0.5000, 0.0000, 0.6476), Mg at (0.5000, 0.1216, 0.2834), Hg at (0.5000, 0.1672, 0.9046) and Au at (0.0000, 0.0000, 0.4054).

The calculation puts the total energy at -53.5 eV/cell. The calculation puts the calculated volume at 214 Å³/f.u.